HgTe8 | PBE | optimized geometry

The value obtained for the total magnetization is 0.0000 μB per atom. The total energy comes out at -48.47 eV/cell. The formation energy without anion corrections comes out at 116 kJ/mol of formula units.

The space group is I4/mmm (No. 139) and the conventional cell measures 9.1562, 9.1562 and 8.2967 Å, with angles of 90.00, 90.00 and 90.00 degrees. The inequivalent atoms are Hg at (0.0000, 0.0000, 0.0000), Te at (0.0000, 0.3490, 0.0000) and Te at (0.1599, 0.1599, 0.5000).

***

Hg3Te | PBE | optimized geometry

The value obtained for the total magnetization is 0.0000 μB per atom. The total energy comes out at -8.18 eV/cell. The formation energy without anion corrections comes out at -4 kJ/mol of formula units.

The space group is I4/mmm (No. 139) and the conventional cell measures 4.2322, 4.2322 and 13.6125 Å, with angles of 90.00, 90.00 and 90.00 degrees. The inequivalent atoms are Hg at (0.0000, 0.0000, 0.0000), Hg at (0.0000, 0.0000, 0.2599) and Te at (0.0000, 0.0000, 0.5000).